1.
Density functional theory data (GGA-PBE) for BaZrAsBr2 after structural relaxation.

## Properties
Total magnetic moment in μB/f.u.: 1.015
Energy relative to the elements, uncorrected in eV/atom: 0.19
Density of states at the Fermi level in states/eV per cell: 4.350
Energy relative to the lowest polymorph listed for this composition in meV per atom: 1321
Calculated total energy in eV/atom: -3.507

abc: 5.9576 5.9576 6.4206
angles: 90.00 90.00 90.00
Fractional positions:
Ba 0.0000 0.0000 0.0000
As 0.0000 0.0000 0.5000
Br 0.5000 0.0000 0.0000
Br 0.0000 0.5000 0.0000
Zr 0.5000 0.5000 0.5000

***

2.
Density functional theory data (GGA-PBE) for BRuI2 after structural relaxation.

## Properties
Total magnetic moment in μB/f.u.: 0.000
Energy relative to the elements, uncorrected in eV/atom: 1.58
Density of states at the Fermi level in states/eV per cell: 4.228
Energy relative to the lowest polymorph listed for this composition in meV per atom: 292
Calculated total energy in eV/atom: -3.180

abc: 4.8246 4.8246 4.8246
angles: 60.00 60.00 60.00
Fractional positions:
I 0.2500 0.2500 0.2500
I 0.7500 0.7500 0.7500
B 0.0000 0.0000 0.0000
Ru 0.5000 0.5000 0.5000